ScCd2Pt: relaxed, PBEsol.

Output
The calculation puts the energy of formation at -0.540 eV per atom. Its calculated volume is 18.19 Å³ per atom. For the calculated total energy, the calculation gives -4.5309 eV per atom. The calculation puts the mass density at 10.61 g/cm³.

```
ScCd2Pt
1.0
4.686 0.000 0.000
2.343 4.058 0.000
2.343 1.353 3.826
Sc Pt Cd
1 1 2
Direct
0.250 0.250 0.250 Sc
0.500 0.500 0.500 Pt
0.000 0.000 0.000 Cd
0.750 0.750 0.750 Cd
```

***

Ba6Na2V2Ru2O17: relaxed, PBEsol.

Output
Its calculated volume is 15.05 Å³ per atom. For the calculated total energy, the calculation gives -7.3267 eV per atom. The calculation puts the mass density at 5.50 g/cm³. The calculation puts the formation energy (no corrections) at -226.00 kJ per mole of atoms.

```
Ba6Na2V2Ru2O17
1.0
-4.849 -1.803 2.669
5.036 -2.765 0.935
5.774 18.221 22.798
Ba Na V Ru O
12 4 4 4 34
Direct
0.000 0.000 0.750 Ba
0.000 0.000 0.250 Ba
0.000 0.000 0.000 Ba
0.000 0.000 0.500 Ba
0.333 0.667 0.593 Ba
0.667 0.333 0.093 Ba
0.667 0.333 0.407 Ba
0.333 0.667 0.907 Ba
0.333 0.667 0.180 Ba
0.667 0.333 0.680 Ba
0.667 0.333 0.820 Ba
0.333 0.667 0.320 Ba
0.000 0.000 0.124 Na
0.000 0.000 0.624 Na
0.000 0.000 0.876 Na
0.000 0.000 0.376 Na
0.333 0.667 0.052 V
0.667 0.333 0.552 V
0.667 0.333 0.948 V
0.333 0.667 0.448 V
0.333 0.667 0.704 Ru
0.667 0.333 0.204 Ru
0.667 0.333 0.296 Ru
0.333 0.667 0.796 Ru
0.333 0.667 0.505 O
0.667 0.333 0.005 O
0.667 0.333 0.495 O
0.333 0.667 0.995 O
0.028 0.514 0.750 O
0.514 0.486 0.250 O
0.514 0.028 0.250 O
0.486 0.972 0.750 O
0.486 0.514 0.750 O
0.972 0.486 0.250 O
0.176 0.824 0.830 O
0.648 0.824 0.830 O
0.176 0.352 0.830 O
0.824 0.648 0.330 O
0.352 0.176 0.170 O
0.824 0.176 0.330 O
0.352 0.176 0.330 O
0.176 0.824 0.670 O
0.176 0.352 0.670 O
0.824 0.648 0.170 O
0.824 0.176 0.170 O
0.648 0.824 0.670 O
0.174 0.826 0.427 O
0.651 0.826 0.427 O
0.651 0.826 0.073 O
0.826 0.174 0.573 O
0.826 0.651 0.573 O
0.174 0.349 0.073 O
0.174 0.826 0.073 O
0.349 0.174 0.927 O
0.826 0.174 0.927 O
0.349 0.174 0.573 O
0.826 0.651 0.927 O
0.174 0.349 0.427 O
```

***

BaSrSi2: relaxed, PBEsol.

Output
Its excess energy over the best structure of this formula in the dataset is 545.7 meV per atom. Its calculated volume is 27.45 Å³ per atom. For the calculated total energy, the calculation gives -3.8074 eV per atom. The calculation puts the mass density at 4.25 g/cm³. The calculation puts the formation energy (no corrections) at 6.11 kJ per mole of atoms.

```
BaSrSi2
1.0
-1.471 -1.922 -3.931
4.082 0.892 -1.963
0.454 -4.063 4.527
Ba Si Sr
1 2 1
Direct
0.250 0.750 0.500 Ba
0.000 0.000 0.000 Si
0.750 0.250 0.500 Si
0.500 0.500 0.000 Sr
```

***

Mg2BeOs: relaxed, PBEsol.

Output
The calculation puts the energy of formation at 0.447 eV per atom. Its calculated volume is 14.86 Å³ per atom. For the calculated total energy, the calculation gives -4.4652 eV per atom. The calculation puts the mass density at 6.92 g/cm³.

```
Mg2BeOs
1.0
2.715 0.000 0.000
0.000 2.715 0.000
0.000 0.000 8.063
Be Mg Os
1 2 1
Direct
0.500 0.500 0.500 Be
0.000 0.000 0.742 Mg
0.000 0.000 0.258 Mg
0.500 0.500 0.000 Os
```

***

MgGeRu3: relaxed, PBEsol.

Output
The calculation puts the energy of formation at 0.927 eV per atom. Its calculated volume is 18.03 Å³ per atom. For the calculated total energy, the calculation gives -6.5076 eV per atom. The calculation puts the mass density at 7.37 g/cm³.

```
MgGeRu3
1.0
-3.268 -1.846 -2.453
2.926 -2.957 -1.673
-0.930 -2.820 3.360
Ru Ge Mg
3 1 1
Direct
0.000 0.500 0.000 Ru
0.000 0.000 0.500 Ru
0.500 0.000 0.000 Ru
0.000 0.000 0.000 Ge
0.500 0.500 0.500 Mg
```

***

ZnCu2Si: relaxed, PBEsol.

Output
Its calculated volume is 12.31 Å³ per atom. For the calculated total energy, the calculation gives -4.0258 eV per atom. The calculation puts the mass density at 7.44 g/cm³. The calculation puts the formation energy (no corrections) at -2.56 kJ per mole of atoms.

```
ZnCu2Si
1.0
-1.782 1.795 -0.811
-0.835 -0.003 -2.521
-6.847 -4.438 0.873
Zn Si Cu
1 1 2
Direct
0.000 0.000 0.000 Zn
0.500 0.500 0.500 Si
0.247 0.247 0.258 Cu
0.753 0.753 0.742 Cu
```

***

AlRe4Rh: relaxed, PBEsol.

Output
The calculation puts the energy of formation at 0.443 eV per atom. Its calculated volume is 15.61 Å³ per atom. For the calculated total energy, the calculation gives -10.4834 eV per atom. The calculation puts the mass density at 15.50 g/cm³.

```
AlRe4Rh
1.0
5.098 0.000 0.000
2.549 4.415 0.000
2.549 1.472 4.162
Al Re Rh
1 4 1
Direct
0.000 0.000 0.000 Al
0.375 0.375 0.375 Re
0.375 0.375 0.874 Re
0.874 0.375 0.375 Re
0.375 0.874 0.375 Re
0.750 0.750 0.750 Rh
```

***

LiRe2Se: relaxed, PBEsol.

Output
Its calculated volume is 14.85 Å³ per atom. For the calculated total energy, the calculation gives -7.5754 eV per atom. The calculation puts the mass density at 12.81 g/cm³. The calculation puts the formation energy (no corrections) at 52.57 kJ per mole of atoms.

```
LiRe2Se
1.0
-1.903 2.783 -1.341
-0.025 -1.589 -3.262
-2.879 -2.714 3.362
Li Re Se
1 2 1
Direct
0.000 0.000 0.000 Li
0.750 0.250 0.500 Re
0.250 0.750 0.500 Re
0.500 0.500 0.000 Se
```

***

> Which formula does entry 1 have?

ScCd2Pt

***

> The lowest calculated total energy belongs to which entry?

AlRe4Rh

***

> Look up the calculated volume of the eighth one.

14.85 Å³ per atom